Here is a relaxed Ac2AlGaAg6 crystal from Alexandria. Energies are from GGA-PBE.

extended XYZ file:
```
10
Lattice="-6.4694 -1.9358 2.1069 -1.3587 -2.4875 -6.4798 -1.9908 -6.5972 -0.7598" Properties=species:S:1:pos:R:3 pbc="T T T"
Ag -2.9504 -4.4117 -1.4715
Ag -5.1948 -2.0729 -0.0327
Ag -4.6242 -8.9477 -5.1000
Ag -5.8758 -3.3227 -3.2833
Ag -6.8686 -6.6089 -3.6612
Ag -3.9431 -7.6979 -1.8494
Ga -3.9141 -2.2117 -2.1864
Ac -6.1883 -5.3718 -0.4179
Ac -3.6307 -5.6487 -4.7147
Al 0.0000 0.0000 0.0000
```

Values from the calculation:
The calculation puts the total magnetic moment at 0.00 Bohr magnetons per cell. Its space group is Immm, No. 71. As for the formation energy: -0.0889 eV/atom. Its density of states at the Fermi level is 3.2 states/eV/f.u.